Entry 1:
The following is a DFT calculation (PBE) of a relaxed Ce2Si3Tc crystal.

Cell: 5.791 5.791 8.200 Å, 109.79 109.79 92.36°
Atoms (fractional coordinates):
Tc 0.665 0.665 0.329
Tc 0.335 0.335 0.671
Si 0.672 0.162 0.834
Si 0.328 0.838 0.166
Si 0.166 0.166 0.331
Ce 0.739 0.739 0.000
Ce 0.261 0.261 0.000
Ce 0.750 0.250 0.500
Si 0.838 0.328 0.166
Si 0.834 0.834 0.669
Ce 0.250 0.750 0.500
Si 0.162 0.672 0.834

Fermi-level density of states = 10.411 states/eV/cell
symmetry = Fmmm (69)
ΔE to the lowest computed polymorph = 0 meV per atom
volume = 240 Å³ per cell
formation energy without anion corrections = -3.76 eV/f.u.

=====

Entry 2:
The following is a DFT calculation (PBE) of a relaxed La2HoIn12Ni3 crystal.

Cell: 8.399 8.399 8.399 Å, 67.53 67.53 67.53°
Atoms (fractional coordinates):
Ni 0.500 0.000 0.000
In 0.547 0.167 0.167
In 0.833 0.833 0.453
Ho 0.000 0.000 0.000
In 0.725 0.120 0.725
In 0.120 0.725 0.725
In 0.167 0.547 0.167
In 0.880 0.275 0.275
In 0.833 0.453 0.833
Ni 0.000 0.500 0.000
In 0.453 0.833 0.833
La 0.576 0.576 0.576
In 0.725 0.725 0.120
In 0.275 0.880 0.275
In 0.275 0.275 0.880
Ni 0.000 0.000 0.500
In 0.167 0.167 0.547
La 0.424 0.424 0.424

Fermi-level density of states = 8.426 states/eV/cell
energy relative to the elements = -59 meV per atom
symmetry = R-3m (166)
volume = 486 Å³ per cell

=====

Entry 3:
The following is a DFT calculation (PBE) of a relaxed TbEr2Tm3 crystal.

Cell: 6.056 7.001 9.258 Å, 112.21 89.96 90.00°
Atoms (fractional coordinates):
Tm 0.583 0.042 0.334
Er 0.083 0.792 0.334
Er 0.583 0.542 0.334
Tm 0.917 0.708 0.666
Tm 0.750 0.625 0.000
Tb 0.250 0.875 0.000
Er 0.917 0.208 0.666
Tb 0.750 0.125 0.000
Tm 0.250 0.375 0.000
Er 0.417 0.458 0.666
Tm 0.083 0.292 0.334
Tm 0.417 0.958 0.666

Fermi-level density of states = 17.223 states/eV/cell
energy relative to the elements = 25 meV per atom
symmetry = C2/c (15)
ΔE to the lowest computed polymorph = 0 meV per atom
volume = 363 Å³ per cell

=====

Entry 4:
The following is a DFT calculation (PBE) of a relaxed SrBrO6 crystal.

Cell: 4.432 4.432 5.240 Å, 98.48 98.48 92.14°
Atoms (fractional coordinates):
O 0.242 0.242 0.637
O 0.824 0.443 0.735
O 0.176 0.557 0.265
O 0.557 0.176 0.265
Sr 0.000 0.000 0.000
O 0.443 0.824 0.735
Br 0.500 0.500 0.500
O 0.758 0.758 0.363

Fermi-level density of states = 3.180 states/eV/cell
symmetry = C2/m (12)
volume = 101 Å³ per cell
formation energy without anion corrections = -0.84 eV/f.u.